# PBE-GGA RbF, optimized geometry
# - Energy relative to the elements, uncorrected: -2.581 eV/atom
# - DOS at the Fermi energy: 0.0000 states/eV/atom
# - V: 36.6 Å³ per atom
# - Magnetic moment: 0.67 μB/cell
# - DFT total energy: -4.00 eV/atom
data_RbF
_chemical_formula_sum 'Rb8 F8'
_space_group_name_H-M_alt 'I 4/m'
_space_group_IT_number 87
_space_group_name_Hall '-I 4'
_cell_length_a 11.1964
_cell_length_b 11.1964
_cell_length_c 4.6755
_cell_angle_alpha 90.00
_cell_angle_beta 90.00
_cell_angle_gamma 90.00
loop_
_atom_site_label
_atom_site_type_symbol
_atom_site_fract_x
_atom_site_fract_y
_atom_site_fract_z
_atom_site_occupancy
Rb1 Rb 0.1162 0.2904 0.0000 1
F1 F 0.1224 0.7068 0.0000 1

***

# PBE-GGA RbF8, optimized geometry
# - Energy relative to the elements, uncorrected: -0.458 eV/atom
# - DOS at the Fermi energy: 0.7749 states/eV/atom
# - V: 19.4 Å³ per atom
# - Magnetic moment: 6.00 μB/cell
# - DFT total energy: -2.23 eV/atom
data_RbF8
_chemical_formula_sum 'Rb2 F16'
_space_group_name_H-M_alt 'I 4/m m m'
_space_group_IT_number 139
_space_group_name_Hall '-I 4 2'
_cell_length_a 8.2023
_cell_length_b 8.2023
_cell_length_c 5.1908
_cell_angle_alpha 90.00
_cell_angle_beta 90.00
_cell_angle_gamma 90.00
loop_
_atom_site_label
_atom_site_type_symbol
_atom_site_fract_x
_atom_site_fract_y
_atom_site_fract_z
_atom_site_occupancy
Rb1 Rb 0.0000 0.0000 0.0000 1
F1 F 0.0000 0.4134 0.0000 1
F2 F 0.1285 0.1285 0.5000 1

***

# PBE-GGA Rb2F3, optimized geometry
# - Energy relative to the elements, uncorrected: -2.100 eV/atom
# - DOS at the Fermi energy: 2.9370 states/eV/atom
# - V: 26.2 Å³ per atom
# - Magnetic moment: 6.03 μB/cell
# - DFT total energy: -3.61 eV/atom
data_Rb2F3
_chemical_formula_sum 'Rb12 F18'
_space_group_name_H-M_alt 'R -3 c'
_space_group_IT_number 167
_space_group_name_Hall '-R 3 2"c'
_cell_length_a 7.1707
_cell_length_b 7.1707
_cell_length_c 17.6196
_cell_angle_alpha 90.00
_cell_angle_beta 90.00
_cell_angle_gamma 120.00
loop_
_atom_site_label
_atom_site_type_symbol
_atom_site_fract_x
_atom_site_fract_y
_atom_site_fract_z
_atom_site_occupancy
Rb1 Rb 0.0000 0.0000 0.1367 1
F1 F 0.0000 0.2779 0.2500 1

***

# PBE-GGA RbF11, optimized geometry
# - Energy relative to the elements, uncorrected: -0.270 eV/atom
# - DOS at the Fermi energy: 0.4018 states/eV/atom
# - V: 16.4 Å³ per atom
# - Magnetic moment: 8.00 μB/cell
# - DFT total energy: -2.07 eV/atom
data_RbF11
_chemical_formula_sum 'Rb4 F44'
_space_group_name_H-M_alt 'I 41/a m d'
_space_group_IT_number 141
_cell_length_a 8.9922
_cell_length_b 8.9922
_cell_length_c 9.7115
_cell_angle_alpha 90.00
_cell_angle_beta 90.00
_cell_angle_gamma 90.00
loop_
_space_group_symop_operation_xyz
'x,y,z'
'-x,-y,-z'
'-y+1/4,x+3/4,z+1/4'
'y+1/4,-x+3/4,-z+1/4'
'-x+1/2,-y,z+1/2'
'x+1/2,y,-z+1/2'
'y+1/4,-x+1/4,z+3/4'
'-y+1/4,x+1/4,-z+3/4'
'x,-y,-z'
'-x,y,z'
'-y+1/4,-x+1/4,-z+3/4'
'y+1/4,x+1/4,z+3/4'
'-x+1/2,y,-z+1/2'
'x+1/2,-y,z+1/2'
'y+1/4,x+3/4,-z+1/4'
'-y+1/4,-x+3/4,z+1/4'
'x+1/2,y+1/2,z+1/2'
'-x+1/2,-y+1/2,-z+1/2'
'-y+3/4,x+1/4,z+3/4'
'y+3/4,-x+1/4,-z+3/4'
'-x,-y+1/2,z'
'x,y+1/2,-z'
'y+3/4,-x+3/4,z+1/4'
'-y+3/4,x+3/4,-z+1/4'
'x+1/2,-y+1/2,-z+1/2'
'-x+1/2,y+1/2,z+1/2'
'-y+3/4,-x+3/4,-z+1/4'
'y+3/4,x+3/4,z+1/4'
'-x,y+1/2,-z'
'x,-y+1/2,z'
'y+3/4,x+1/4,-z+3/4'
'-y+3/4,-x+1/4,z+3/4'
loop_
_atom_site_label
_atom_site_type_symbol
_atom_site_fract_x
_atom_site_fract_y
_atom_site_fract_z
_atom_site_occupancy
Rb1 Rb 0.0000 0.2500 0.3750 1
F1 F 0.0000 0.0000 0.0000 1
F2 F 0.0000 0.2500 0.8750 1
F3 F 0.0819 0.0740 0.6389 1

***

# PBE-GGA RbF, optimized geometry
# - Energy relative to the elements, uncorrected: -2.593 eV/atom
# - DOS at the Fermi energy: 0.0000 states/eV/atom
# - V: 30.8 Å³ per atom
# - Magnetic moment: 0.39 μB/cell
# - DFT total energy: -4.01 eV/atom
data_RbF
_chemical_formula_sum 'Rb4 F4'
_space_group_name_H-M_alt 'F -4 3 m'
_space_group_IT_number 216
_space_group_name_Hall 'F -4 2 3'
_cell_length_a 6.2695
_cell_length_b 6.2695
_cell_length_c 6.2695
_cell_angle_alpha 90.00
_cell_angle_beta 90.00
_cell_angle_gamma 90.00
loop_
_atom_site_label
_atom_site_type_symbol
_atom_site_fract_x
_atom_site_fract_y
_atom_site_fract_z
_atom_site_occupancy
Rb1 Rb 0.0000 0.0000 0.0000 1
F1 F 0.2500 0.2500 0.2500 1

***

# PBE-GGA RbF, optimized geometry
# - Energy relative to the elements, uncorrected: -2.643 eV/atom
# - DOS at the Fermi energy: 0.0000 states/eV/atom
# - V: 23.3 Å³ per atom
# - Magnetic moment: 0.14 μB/cell
# - DFT total energy: -4.06 eV/atom
data_RbF
_chemical_formula_sum 'Rb2 F2'
_space_group_name_H-M_alt 'P 63/m m c'
_space_group_IT_number 194
_space_group_name_Hall '-P 6c 2c'
_cell_length_a 3.9679
_cell_length_b 3.9679
_cell_length_c 6.8461
_cell_angle_alpha 90.00
_cell_angle_beta 90.00
_cell_angle_gamma 120.00
loop_
_atom_site_label
_atom_site_type_symbol
_atom_site_fract_x
_atom_site_fract_y
_atom_site_fract_z
_atom_site_occupancy
Rb1 Rb 0.3333 0.6667 0.2500 1
F1 F 0.0000 0.0000 0.0000 1